*A*
A plane-wave DFT calculation with PBE-GGA was carried out for an optimized crystal structure of GeP2SI.

Its volume is 111.4 Å³/f.u. The total magnetization is 0.00 μB per atom.

It has space group P4/mmm (No. 123), with a = 4.928 Å, b = 4.928 Å, c = 4.587 Å, α = 90.00°, β = 90.00° and γ = 90.00°. The distinct sites, in fractional coordinates, are Ge at (0.000, 0.000, 0.000), P at (0.000, 0.500, 0.000), S at (0.000, 0.000, 0.500) and I at (0.500, 0.500, 0.500).



*B*
A plane-wave DFT calculation with PBE-GGA was carried out for an optimized crystal structure of GeP2SI.

Its volume is 132.8 Å³/f.u. The total magnetization is 0.00 μB per atom.

It has space group P4/mmm (No. 123), with a = 5.145 Å, b = 5.145 Å, c = 5.017 Å, α = 90.00°, β = 90.00° and γ = 90.00°. The distinct sites, in fractional coordinates, are Ge at (0.000, 0.000, 0.000), P at (0.000, 0.500, 0.500), S at (0.500, 0.500, 0.000) and I at (0.500, 0.500, 0.500).



*A* wins, 0.563 eV/atom ahead of the next structure.